VASP calculation (SCAN) on LaZr2 at its PBEsol-relaxed geometry.

abc: 5.377 5.725 5.725
angles: 120.00 90.00 90.00
Element x y z (fractional)
La: 0.000 0.333 0.667
Zr: 0.500 0.694 0.694
La: 0.000 0.667 0.333
Zr: 0.000 0.000 0.000
Zr: 0.500 0.000 0.306
Zr: 0.500 0.306 0.000

Results
The calculation puts the energy above the most stable polymorph in this dataset at 20 meV/atom. The space group is P-62m (189).

=====

VASP calculation (SCAN) on LaZr at its PBEsol-relaxed geometry.

abc: 3.327 3.327 11.288
angles: 90.00 90.00 120.00
Element x y z (fractional)
La: 0.667 0.333 0.145
Zr: 0.667 0.333 0.608
La: 0.333 0.667 0.855
Zr: 0.333 0.667 0.392

Results
The calculation puts the energy above the most stable polymorph in this dataset at 0 meV/atom. The space group is P-3m1 (164).

=====

VASP calculation (SCAN) on LaZr2 at its PBEsol-relaxed geometry.

abc: 3.209 5.140 5.140
angles: 90.00 90.00 90.00
Element x y z (fractional)
Zr: 0.500 0.500 0.000
Zr: 0.500 0.000 0.500
La: 0.000 0.000 0.000

Results
The calculation puts the energy above the most stable polymorph in this dataset at 826 meV/atom. The space group is P4/mmm (123).

=====

| no. | D(E_F) (states/eV/atom) | uncorrected energy (eV for the cell shown) | energy of formation (eV/atom) |
| --- | --- | --- | --- |
| 1 | 1.677 | -207.82 | 0.20 |
| 2 | 1.291 | -146.96 | 0.16 |
| 3 | 1.246 | -101.49 | 1.00 |